Record 1
Material: GaNi2AgH
Method: DFT, PBE
State: relaxed

## Properties
Energy relative to the lowest polymorph listed for this composition = 0 meV per atom
N(E_F) = 1.777 states/eV/f.u.
Calculated volume = 11.22 Å³/atom
Spin magnetization = 0.0 μB per formula unit

Cell lengths 3.7712, 3.7712, 3.9447 Å; angles 90.00, 90.00, 90.00 degrees
Fractional coordinates of all 5 atoms:
Ga: 0.0000 0.0000 0.0000
Ni: 0.0000 0.5000 0.5000
Ni: 0.5000 0.0000 0.5000
Ag: 0.5000 0.5000 0.0000
H: 0.5000 0.5000 0.5000

Record 2
Material: GaAg2HOs
Method: DFT, PBE
State: relaxed

## Properties
E_tot = -18.53 eV/cell
N(E_F) = 2.479 states/eV/f.u.
Calculated volume = 15.28 Å³/atom
Spin magnetization = 0.0 μB per formula unit

Cell lengths 5.0622, 5.0622, 2.9815 Å; angles 90.00, 90.00, 90.00 degrees
Fractional coordinates of all 5 atoms:
Ga: 0.0000 0.0000 0.0000
Ag: 0.0000 0.5000 0.0000
Ag: 0.5000 0.0000 0.0000
H: 0.0000 0.0000 0.5000
Os: 0.5000 0.5000 0.5000

Record 3
Material: GaAgHPb2
Method: DFT, PBE
State: relaxed

## Properties
E_tot = -15.52 eV/cell
N(E_F) = 1.653 states/eV/f.u.
Calculated volume = 21.34 Å³/atom
Spin magnetization = 0.0 μB per formula unit

Cell lengths 5.2930, 5.2930, 3.8093 Å; angles 90.00, 90.00, 90.00 degrees
Fractional coordinates of all 5 atoms:
Ga: 0.0000 0.0000 0.0000
Ag: 0.5000 0.5000 0.0000
H: 0.5000 0.5000 0.5000
Pb: 0.0000 0.5000 0.5000
Pb: 0.5000 0.0000 0.5000

Record 4
Material: GaAgHRh2
Method: DFT, PBE
State: relaxed

## Properties
E_tot = -24.49 eV/cell
N(E_F) = 4.454 states/eV/f.u.
Calculated volume = 12.60 Å³/atom
Spin magnetization = 0.0 μB per formula unit

Cell lengths 4.0073, 4.0073, 3.9231 Å; angles 90.00, 90.00, 90.00 degrees
Fractional coordinates of all 5 atoms:
Ga: 0.0000 0.0000 0.0000
Ag: 0.5000 0.5000 0.0000
H: 0.5000 0.5000 0.5000
Rh: 0.0000 0.5000 0.5000
Rh: 0.5000 0.0000 0.5000